Compound: SmSnGeRh2
Source: the Alexandria database
Functional: PBE-GGA
Structure: optimized geometry

POSCAR file:
```
SmSnGeRh2
1.0
2.226 -6.449 0.000
2.226 6.449 0.000
0.000 0.000 7.290
Sm Sn Ge Rh
2 2 2 4
direct
0.111 0.889 0.750
0.889 0.111 0.250
0.188 0.812 0.250
0.812 0.188 0.750
0.500 0.500 0.000
0.500 0.500 0.500
0.321 0.679 0.542
0.321 0.679 0.958
0.679 0.321 0.042
0.679 0.321 0.458
```

Results
Volume ... 20.93 A^3/atom
Electronic total energy ... -62.19 eV per cell
Symmetry ... Cmcm (63)
Total magnetization ... 0.00 μB per formula unit
Formation enthalpy at 0 K ... -0.610 eV/atom

Compound: Sm2Sn3GeRh4
Source: the Alexandria database
Functional: PBE-GGA
Structure: optimized geometry

POSCAR file:
```
Sm2Sn3GeRh4
1.0
4.436 0.000 0.000
0.000 4.436 0.000
0.000 0.000 10.575
Sm Sn Ge Rh
2 3 1 4
direct
0.000 0.500 0.242
0.500 0.000 0.758
0.000 0.000 0.000
0.000 0.500 0.634
0.500 0.000 0.366
0.500 0.500 0.000
0.000 0.000 0.500
0.000 0.500 0.877
0.500 0.000 0.123
0.500 0.500 0.500
```

Results
Volume ... 20.81 A^3/atom
Electronic total energy ... -62.58 eV per cell
Symmetry ... P-4m2 (115)
Total magnetization ... 0.00 μB per formula unit
Formation enthalpy at 0 K ... -0.711 eV/atom

Compound: Sm2TaGe3Rh4
Source: the Alexandria database
Functional: PBE-GGA
Structure: optimized geometry

POSCAR file:
```
Sm2TaGe3Rh4
1.0
4.179 0.000 0.000
0.000 4.179 0.000
0.000 0.000 10.649
Sm Ta Ge Rh
2 1 3 4
direct
0.000 0.500 0.240
0.500 0.000 0.760
0.000 0.000 0.500
0.000 0.500 0.872
0.500 0.000 0.128
0.500 0.500 0.500
0.000 0.000 0.000
0.000 0.500 0.640
0.500 0.000 0.360
0.500 0.500 0.000
```

Results
Volume ... 18.60 A^3/atom
Electronic total energy ... -72.66 eV per cell
Symmetry ... P-4m2 (115)
Total magnetization ... 0.00 μB per formula unit
Formation enthalpy at 0 K ... -0.811 eV/atom

Compound: TbSmGeRh
Source: the Alexandria database
Functional: PBE-GGA
Structure: optimized geometry

POSCAR file:
```
TbSmGeRh
1.0
7.096 0.000 0.000
0.000 7.096 0.000
0.000 0.000 7.096
Tb Sm Ge Rh
4 4 4 4
direct
0.000 0.000 0.000
0.000 0.500 0.500
0.500 0.000 0.500
0.500 0.500 0.000
0.000 0.000 0.500
0.000 0.500 0.000
0.500 0.000 0.000
0.500 0.500 0.500
0.250 0.250 0.250
0.250 0.750 0.750
0.750 0.250 0.750
0.750 0.750 0.250
0.250 0.250 0.750
0.250 0.750 0.250
0.750 0.250 0.250
0.750 0.750 0.750
```

Results
Volume ... 22.33 A^3/atom
Electronic total energy ... -96.20 eV per cell
Symmetry ... F-43m (216)
Total magnetization ... 0.00 μB per formula unit
Distance to the lowest polymorph of the same formula ... 154 meV/atom
Formation enthalpy at 0 K ... -0.683 eV/atom

Compound: TbSm2Ge3Rh4
Source: the Alexandria database
Functional: PBE-GGA
Structure: optimized geometry

POSCAR file:
```
TbSm2Ge3Rh4
1.0
4.175 0.000 0.000
0.000 4.175 0.000
0.000 0.000 11.213
Tb Sm Ge Rh
1 2 3 4
direct
0.000 0.000 0.000
0.000 0.500 0.728
0.500 0.000 0.272
0.000 0.500 0.378
0.500 0.000 0.622
0.500 0.500 0.000
0.000 0.000 0.500
0.000 0.500 0.160
0.500 0.000 0.840
0.500 0.500 0.500
```

Results
Volume ... 19.54 A^3/atom
Electronic total energy ... -66.08 eV per cell
Symmetry ... P-4m2 (115)
Total magnetization ... 0.00 μB per formula unit
Formation enthalpy at 0 K ... -0.875 eV/atom

Compound: TbSmGeRh
Source: the Alexandria database
Functional: PBE-GGA
Structure: optimized geometry

POSCAR file:
```
TbSmGeRh
1.0
4.177 0.000 0.000
0.000 4.139 0.000
0.000 0.000 10.666
Tb Sm Ge Rh
2 2 2 2
direct
0.000 0.000 0.000
0.000 0.500 0.500
0.500 0.000 0.720
0.500 0.500 0.220
0.000 0.000 0.290
0.000 0.500 0.790
0.500 0.000 0.443
0.500 0.500 0.943
```

Results
Volume ... 23.05 A^3/atom
Electronic total energy ... -49.33 eV per cell
Symmetry ... Amm2 (38)
Total magnetization ... 0.00 μB per formula unit
Distance to the lowest polymorph of the same formula ... 0 meV/atom
Formation enthalpy at 0 K ... -0.837 eV/atom

Compound: SmTcGe2Rh
Source: the Alexandria database
Functional: PBE-GGA
Structure: optimized geometry

POSCAR file:
```
SmTcGe2Rh
1.0
4.300 0.000 0.000
0.000 4.300 0.000
0.000 0.000 10.047
Sm Tc Ge Rh
2 2 4 2
direct
0.000 0.000 0.000
0.500 0.500 0.500
0.000 0.500 0.250
0.500 0.000 0.750
0.000 0.000 0.370
0.000 0.000 0.630
0.500 0.500 0.130
0.500 0.500 0.870
0.000 0.500 0.750
0.500 0.000 0.250
```

Results
Volume ... 18.57 A^3/atom
Electronic total energy ... -70.20 eV per cell
Symmetry ... I-4m2 (119)
Total magnetization ... 0.00 μB per formula unit
Formation enthalpy at 0 K ... -0.686 eV/atom

Compound: Sm8Ge3Te4Rh
Source: the Alexandria database
Functional: PBE-GGA
Structure: optimized geometry

POSCAR file:
```
Sm8Ge3Te4Rh
1.0
4.303 2.484 7.261
-4.303 2.484 7.261
0.000 -4.968 7.261
Sm Ge Te Rh
8 3 4 1
direct
0.242 0.242 0.242
0.243 0.737 0.737
0.263 0.263 0.757
0.263 0.757 0.263
0.737 0.243 0.737
0.737 0.737 0.243
0.757 0.263 0.263
0.758 0.758 0.758
0.000 0.000 0.500
0.000 0.500 0.000
0.500 0.000 0.000
0.000 0.000 0.000
0.000 0.500 0.500
0.500 0.000 0.500
0.500 0.500 0.000
0.500 0.500 0.500
```

Results
Volume ... 29.10 A^3/atom
Electronic total energy ... -89.86 eV per cell
Symmetry ... R-3m (166)
Total magnetization ... 0.00 μB per formula unit
Formation energy (no corrections) ... -110.6 kJ per mole of atoms

Compound: SmTh2Ge3Rh4
Source: the Alexandria database
Functional: PBE-GGA
Structure: optimized geometry

POSCAR file:
```
SmTh2Ge3Rh4
1.0
4.174 0.000 0.000
0.000 4.174 0.000
0.000 0.000 11.510
Sm Th Ge Rh
1 2 3 4
direct
0.000 0.000 0.000
0.000 0.500 0.727
0.500 0.000 0.273
0.000 0.500 0.381
0.500 0.000 0.619
0.500 0.500 0.000
0.000 0.000 0.500
0.000 0.500 0.169
0.500 0.000 0.831
0.500 0.500 0.500
```

Results
Volume ... 20.05 A^3/atom
Electronic total energy ... -71.37 eV per cell
Symmetry ... P-4m2 (115)
Total magnetization ... 0.00 μB per formula unit
Formation enthalpy at 0 K ... -0.856 eV/atom

Compound: SmTh2Ge2Rh7
Source: the Alexandria database
Functional: PBE-GGA
Structure: optimized geometry

POSCAR file:
```
SmTh2Ge2Rh7
1.0
2.972 -2.915 0.000
2.972 2.915 0.000
-1.567 0.000 12.954
Sm Th Ge Rh
1 2 2 7
direct
0.000 0.000 0.000
0.080 0.080 0.348
0.920 0.920 0.652
0.435 0.435 0.741
0.565 0.565 0.259
0.041 0.542 0.163
0.327 0.327 0.555
0.458 0.959 0.837
0.500 0.500 0.000
0.542 0.041 0.163
0.673 0.673 0.445
0.959 0.458 0.837
```

Results
Volume ... 18.71 A^3/atom
Electronic total energy ... -88.99 eV per cell
Symmetry ... C2/m (12)
Total magnetization ... 0.00 μB per formula unit
Formation enthalpy at 0 K ... -0.728 eV/atom

Compound: Sm2TiGe3Rh4
Source: the Alexandria database
Functional: PBE-GGA
Structure: optimized geometry

POSCAR file:
```
Sm2TiGe3Rh4
1.0
4.137 0.000 0.000
0.000 4.137 0.000
0.000 0.000 10.702
Sm Ti Ge Rh
2 1 3 4
direct
0.000 0.500 0.242
0.500 0.000 0.758
0.000 0.000 0.500
0.000 0.500 0.872
0.500 0.000 0.128
0.500 0.500 0.500
0.000 0.000 0.000
0.000 0.500 0.640
0.500 0.000 0.360
0.500 0.500 0.000
```

Results
Volume ... 18.31 A^3/atom
Electronic total energy ... -69.47 eV per cell
Symmetry ... P-4m2 (115)
Total magnetization ... 0.00 μB per formula unit
Formation enthalpy at 0 K ... -0.888 eV/atom

Compound: Sm2TlGe2Rh5
Source: the Alexandria database
Functional: PBE-GGA
Structure: optimized geometry

POSCAR file:
```
Sm2TlGe2Rh5
1.0
9.973 0.000 0.000
0.000 9.973 0.000
0.000 0.000 3.651
Sm Tl Ge Rh
4 2 4 10
direct
0.176 0.324 0.000
0.324 0.824 0.000
0.676 0.176 0.000
0.824 0.676 0.000
0.000 0.000 0.000
0.500 0.500 0.000
0.122 0.622 0.000
0.378 0.122 0.000
0.622 0.878 0.000
0.878 0.378 0.000
0.000 0.500 0.500
0.068 0.784 0.500
0.216 0.068 0.500
0.284 0.568 0.500
0.432 0.284 0.500
0.500 0.000 0.500
0.568 0.716 0.500
0.716 0.432 0.500
0.784 0.932 0.500
0.932 0.216 0.500
```

Results
Volume ... 18.16 A^3/atom
Electronic total energy ... -129.35 eV per cell
Symmetry ... P4/mbm (127)
Total magnetization ... 0.00 μB per formula unit
Formation enthalpy at 0 K ... -0.688 eV/atom